Computed, not measured: a relaxed CoBiIrW crystal at the PBE level of DFT.

Computed properties:
energy relative to the lowest polymorph listed for this composition: 104 meV per atom
spin magnetization: 0.025 μB/atom

a = 4.5665 Å, b = 4.5665 Å, c = 4.5665 Å
α = 60.00°, β = 60.00°, γ = 60.00°
With the nearest neighbours (Å) after each atom.
Positions (direct):
W 0.5000 0.5000 0.5000  4 Ir 2.80, 4 Co 2.80
Ir 0.2500 0.2500 0.2500  4 W 2.80, 4 Bi 2.80
Co 0.7500 0.7500 0.7500  4 Bi 2.80, 4 W 2.80
Bi 0.0000 0.0000 0.0000  4 Co 2.80, 4 Ir 2.80

***

Computed, not measured: a relaxed CuReAg2S6 crystal at the PBE level of DFT.

Computed properties:
raw total energy: -41.941 eV per cell
spin magnetization: 0.000 μB/atom

a = 6.5887 Å, b = 6.5887 Å, c = 6.5887 Å
α = 60.00°, β = 60.00°, γ = 90.00°
With the nearest neighbours (Å) after each atom.
Positions (direct):
S 0.2499 0.2499 0.5002  1 Re 2.33, 1 Cu 2.33
S 0.7501 0.7501 0.0000  1 Re 2.33, 1 Cu 2.33
S 0.2499 0.7501 0.0000  1 Re 2.33, 1 Cu 2.33
S 0.7501 0.2499 0.0000  1 Re 2.33, 1 Cu 2.33
S 0.7501 0.7501 0.4998  1 Re 2.33, 1 Cu 2.33
S 0.2499 0.2499 0.0000  1 Re 2.33, 1 Cu 2.33
Cu 0.5000 0.5000 0.0000  6 S 2.33
Ag 0.7500 0.2500 0.5000  12 S 3.29
Ag 0.2500 0.7500 0.5000  12 S 3.29
Re 0.0000 0.0000 0.0000  6 S 2.33

***

Computed, not measured: a relaxed TlPt2W crystal at the PBE level of DFT.

Computed properties:
raw total energy: -25.652 eV per cell
spin magnetization: 0.001 μB/atom

a = 4.5971 Å, b = 4.5971 Å, c = 4.5971 Å
α = 60.00°, β = 60.00°, γ = 60.00°
With the nearest neighbours (Å) after each atom.
Positions (direct):
W 0.2500 0.2500 0.2500  4 Pt 2.82, 4 Tl 2.82
Pt 0.7500 0.7500 0.7500  4 Pt 2.82, 4 Tl 2.82
Pt 0.0000 0.0000 0.0000  4 W 2.82, 4 Pt 2.82
Tl 0.5000 0.5000 0.5000  4 W 2.82, 4 Pt 2.82

***

Computed, not measured: a relaxed Nb4SnPC2 crystal at the PBE level of DFT.

Computed properties:
raw total energy: -73.019 eV per cell
spin magnetization: 0.001 μB/atom

a = 3.2850 Å, b = 3.2850 Å, c = 12.8232 Å
α = 90.00°, β = 90.00°, γ = 120.00°
With the nearest neighbours (Å) after each atom.
Positions (direct):
Nb 0.6667 0.3333 0.8645  3 C 2.25
Nb 0.0000 0.0000 0.3169  3 C 2.20
Nb 0.6667 0.3333 0.1355  3 C 2.25
Nb 0.0000 0.0000 0.6831  3 C 2.20
C 0.3333 0.6667 0.2306  6 Nb 2.20-2.25
C 0.3333 0.6667 0.7694  6 Nb 2.20-2.25
Sn 0.6667 0.3333 0.5000  6 Nb 3.02, 6 Sn 3.28
P 0.0000 0.0000 0.0000  6 Nb 2.57

***

Computed, not measured: a relaxed Tm crystal at the PBE level of DFT.

Computed properties:
energy relative to the lowest polymorph listed for this composition: 38 meV per atom
spin magnetization: 0.003 μB/atom

a = 3.4211 Å, b = 3.4211 Å, c = 3.4211 Å
α = 61.35°, β = 118.65°, γ = 118.65°
With the nearest neighbours (Å) after each atom.
Positions (direct):
Tm 0.0000 0.0000 0.0000  12 Tm 3.42-3.49

***

Computed, not measured: a relaxed MoI2 crystal at the PBE level of DFT.

Computed properties:
energy relative to the lowest polymorph listed for this composition: 764 meV per atom
spin magnetization: 0.667 μB/atom

a = 7.6206 Å, b = 7.6206 Å, c = 7.6206 Å
α = 29.18°, β = 29.18°, γ = 29.18°
With the nearest neighbours (Å) after each atom.
Positions (direct):
Mo 0.0050 0.0050 0.0050  6 I 2.74-2.95
I 0.7454 0.7454 0.7454  3 Mo 2.74
I 0.5828 0.5828 0.5828  3 Mo 2.95

***

Computed, not measured: a relaxed FeSi2Ge crystal at the PBE level of DFT.

Computed properties:
raw total energy: -22.146 eV per cell
spin magnetization: 0.004 μB/atom

a = 4.2370 Å, b = 4.2370 Å, c = 4.2370 Å
α = 60.00°, β = 60.00°, γ = 60.00°
With the nearest neighbours (Å) after each atom.
Positions (direct):
Ge 0.5000 0.5000 0.5000  4 Fe 2.59, 4 Si 2.59
Si 0.7500 0.7500 0.7500  4 Ge 2.59, 4 Si 2.59
Si 0.0000 0.0000 0.0000  4 Fe 2.59, 4 Si 2.59
Fe 0.2500 0.2500 0.2500  4 Ge 2.59, 4 Si 2.59

***

Computed, not measured: a relaxed Li2TaNbGe2Os2 crystal at the PBE level of DFT.

Computed properties:
raw total energy: -60.300 eV per cell
spin magnetization: 0.000 μB/atom

a = 4.3440 Å, b = 4.3440 Å, c = 6.1432 Å
α = 90.00°, β = 90.00°, γ = 90.00°
With the nearest neighbours (Å) after each atom.
Positions (direct):
Ge 0.0000 0.0000 0.5000  4 Os 2.66, 4 Li 2.66
Ge 0.5000 0.5000 0.0000  4 Li 2.66, 4 Os 2.66
Li 0.5000 0.0000 0.2498  4 Ge 2.66, 2 Nb 2.66, 2 Ta 2.66
Li 0.0000 0.5000 0.7502  4 Ge 2.66, 2 Nb 2.66, 2 Ta 2.66
Os 0.5000 0.0000 0.7492  2 Ta 2.66, 4 Ge 2.66, 2 Nb 2.66
Os 0.0000 0.5000 0.2508  2 Ta 2.66, 4 Ge 2.66, 2 Nb 2.66
Ta 0.5000 0.5000 0.5000  4 Os 2.66, 4 Li 2.66
Nb 0.0000 0.0000 0.0000  4 Li 2.66, 4 Os 2.66

***

Computed, not measured: a relaxed NbHgO3 crystal at the PBE level of DFT.

Computed properties:
raw total energy: -133.142 eV per cell
spin magnetization: 0.000 μB/atom

a = 5.6584 Å, b = 5.7517 Å, c = 8.0610 Å
α = 90.00°, β = 90.00°, γ = 90.00°
With the nearest neighbours (Å) after each atom.
Positions (direct):
O 0.7539 0.7538 0.4930  2 Nb 2.02
O 0.5143 0.9997 0.7500  2 Nb 2.02
O 0.2539 0.7462 0.5070  2 Nb 2.02
O 0.9857 0.4997 0.7500  2 Nb 2.02
O 0.7539 0.7538 0.0070  2 Nb 2.02
O 0.7461 0.2538 0.0070  2 Nb 2.02
O 0.0143 0.5003 0.2500  2 Nb 2.02
O 0.4857 0.0003 0.2500  2 Nb 2.02
O 0.7461 0.2538 0.4930  2 Nb 2.02
O 0.2461 0.2462 0.9930  2 Nb 2.02
O 0.2539 0.7462 0.9930  2 Nb 2.02
O 0.2461 0.2462 0.5070  2 Nb 2.02
Hg 0.9993 0.0002 0.2500  12 O 2.75-2.92
Hg 0.5007 0.5002 0.2500  12 O 2.75-2.92
Hg 0.4993 0.4998 0.7500  12 O 2.75-2.92
Hg 0.0007 0.9998 0.7500  12 O 2.75-2.92
Nb 0.5000 0.0000 0.5000  6 O 2.02
Nb 0.0000 0.5000 0.0000  6 O 2.02
Nb 0.0000 0.5000 0.5000  6 O 2.02
Nb 0.5000 0.0000 0.0000  6 O 2.02

***

Computed, not measured: a relaxed Re2Ge crystal at the PBE level of DFT.

Computed properties:
energy relative to the lowest polymorph listed for this composition: 194 meV per atom
spin magnetization: 0.001 μB/atom

a = 4.1298 Å, b = 4.1298 Å, c = 4.1298 Å
α = 60.00°, β = 60.00°, γ = 60.00°
With the nearest neighbours (Å) after each atom.
Positions (direct):
Ge 0.0000 0.0000 0.0000  8 Re 2.53
Re 0.2500 0.2500 0.2500  4 Ge 2.53
Re 0.7500 0.7500 0.7500  4 Ge 2.53

***

Computed, not measured: a relaxed Li2HfCdIn2Pt2 crystal at the PBE level of DFT.

Computed properties:
raw total energy: -37.038 eV per cell
spin magnetization: 0.000 μB/atom

a = 4.6175 Å, b = 4.6175 Å, c = 6.6133 Å
α = 90.00°, β = 90.00°, γ = 90.00°
With the nearest neighbours (Å) after each atom.
Positions (direct):
Li 0.5000 0.0000 0.2262  2 Cd 2.75, 4 In 2.75-2.93, 2 Hf 2.93
Li 0.0000 0.5000 0.7738  4 In 2.75-2.93, 2 Cd 2.75, 2 Hf 2.93
Pt 0.0000 0.5000 0.2718  4 In 2.76-2.93, 2 Hf 2.76, 2 Cd 2.93
Pt 0.5000 0.0000 0.7282  2 Hf 2.76, 4 In 2.76-2.93, 2 Cd 2.93
In 0.5000 0.5000 0.0000  4 Li 2.75, 4 Pt 2.93
In 0.0000 0.0000 0.5000  4 Pt 2.76, 4 Li 2.93
Hf 0.5000 0.5000 0.5000  4 Pt 2.76, 4 Li 2.93
Cd 0.0000 0.0000 0.0000  4 Li 2.75, 4 Pt 2.93

***

Computed, not measured: a relaxed KHfTePdSeS crystal at the PBE level of DFT.

Computed properties:
energy relative to the lowest polymorph listed for this composition: 135 meV per atom
spin magnetization: 0.000 μB/atom

a = 8.8641 Å, b = 3.9321 Å, c = 10.0832 Å
α = 90.00°, β = 111.94°, γ = 90.00°
With the nearest neighbours (Å) after each atom.
Positions (direct):
Pd 0.9026 0.2500 0.4144  2 S 2.41, 1 Se 2.64
Pd 0.0974 0.7500 0.5856  2 S 2.41, 1 Se 2.64
K 0.2295 0.7500 0.2955  2 S 3.27, 2 Se 3.41, 2 Te 3.50, 1 Pd 3.53
K 0.7705 0.2500 0.7045  2 S 3.27, 2 Se 3.41, 2 Te 3.50, 1 Pd 3.53
S 0.2404 0.2500 0.5579  2 Pd 2.41, 1 Hf 2.45
S 0.7596 0.7500 0.4421  2 Pd 2.41, 1 Hf 2.45
Te 0.4441 0.2500 0.1380  3 Hf 2.98-3.04
Te 0.5559 0.7500 0.8620  3 Hf 2.98-3.04
Hf 0.2880 0.2500 0.8138  1 S 2.45, 2 Se 2.65
Hf 0.7120 0.7500 0.1862  1 S 2.45, 2 Se 2.65
Se 0.1060 0.7500 0.8502  1 Pd 2.64, 2 Hf 2.65
Se 0.8940 0.2500 0.1498  1 Pd 2.64, 2 Hf 2.65

***

Computed, not measured: a relaxed LiPaB crystal at the PBE level of DFT.

Computed properties:
energy relative to the lowest polymorph listed for this composition: 808 meV per atom
spin magnetization: 0.313 μB/atom

a = 4.2229 Å, b = 4.2229 Å, c = 4.2229 Å
α = 60.00°, β = 60.00°, γ = 60.00°
With the nearest neighbours (Å) after each atom.
Positions (direct):
Li 0.2500 0.2500 0.2500  4 Pa 2.59
Pa 0.0000 0.0000 0.0000  4 Li 2.59, 4 B 2.59
B 0.7500 0.7500 0.7500  4 Pa 2.59

***

Computed, not measured: a relaxed TlW crystal at the PBE level of DFT.

Computed properties:
energy relative to the lowest polymorph listed for this composition: 0 meV per atom
spin magnetization: 0.003 μB/atom

a = 3.0395 Å, b = 3.0395 Å, c = 4.8051 Å
α = 90.00°, β = 90.00°, γ = 120.00°
With the nearest neighbours (Å) after each atom.
Positions (direct):
Tl 0.6667 0.3333 0.7500  6 W 2.98, 6 Tl 3.04
W 0.3333 0.6667 0.2500  6 Tl 2.98, 6 W 3.04

***

Computed, not measured: a relaxed PaCuGe crystal at the PBE level of DFT.

Computed properties:
energy relative to the lowest polymorph listed for this composition: 641 meV per atom
spin magnetization: 0.000 μB/atom

a = 4.6571 Å, b = 4.6571 Å, c = 4.6571 Å
α = 60.00°, β = 60.00°, γ = 60.00°
With the nearest neighbours (Å) after each atom.
Positions (direct):
Ge 0.7500 0.7500 0.7500  4 Pa 2.85
Pa 0.0000 0.0000 0.0000  4 Ge 2.85, 4 Cu 2.85
Cu 0.2500 0.2500 0.2500  4 Pa 2.85

***

Computed, not measured: a relaxed SmTeAuO crystal at the PBE level of DFT.

Computed properties:
energy relative to the lowest polymorph listed for this composition: 0 meV per atom
spin magnetization: 0.000 μB/atom

a = 10.3476 Å, b = 5.8254 Å, c = 5.8032 Å
α = 90.00°, β = 90.00°, γ = 90.00°
With the nearest neighbours (Å) after each atom.
Positions (direct):
O 0.9995 0.5005 0.7501  4 Sm 2.34
O 0.9995 0.0005 0.7499  4 Sm 2.34
O 0.9995 0.9995 0.2499  4 Sm 2.34
O 0.9995 0.4995 0.2501  4 Sm 2.34
Te 0.2811 0.2500 0.5000  2 Au 2.69
Te 0.7195 0.2500 0.0000  2 Au 2.69
Te 0.2811 0.7500 0.0000  2 Au 2.69
Te 0.7195 0.7500 0.5000  2 Au 2.69
Sm 0.1075 0.2500 0.0000  4 O 2.34
Sm 0.8914 0.7500 0.0000  4 O 2.34
Sm 0.8914 0.2500 0.5000  4 O 2.34
Sm 0.1075 0.7500 0.5000  4 O 2.34
Au 0.5007 0.2519 0.7494  2 Te 2.69, 4 Au 2.90-2.91
Au 0.5007 0.7519 0.7506  2 Te 2.69, 4 Au 2.90-2.91
Au 0.5007 0.7481 0.2494  2 Te 2.69, 4 Au 2.90-2.91
Au 0.5007 0.2481 0.2506  2 Te 2.69, 4 Au 2.90-2.91

***

Computed, not measured: a relaxed InReHg3Te4 crystal at the PBE level of DFT.

Computed properties:
raw total energy: -25.186 eV per cell
spin magnetization: 0.428 μB/atom

a = 7.1236 Å, b = 7.1236 Å, c = 7.1236 Å
α = 90.00°, β = 90.00°, γ = 90.00°
With the nearest neighbours (Å) after each atom.
Positions (direct):
Te 0.7183 0.7183 0.2817  1 Re 2.69, 3 Hg 2.98
Te 0.7183 0.2817 0.7183  1 Re 2.69, 3 Hg 2.98
Te 0.2817 0.2817 0.2817  1 Re 2.69, 3 Hg 2.98
Te 0.2817 0.7183 0.7183  1 Re 2.69, 3 Hg 2.98
Hg 0.0000 0.5000 0.5000  4 Te 2.98
Hg 0.5000 0.5000 0.0000  4 Te 2.98
Hg 0.5000 0.0000 0.5000  4 Te 2.98
In 0.0000 0.0000 0.0000  4 Te 3.48
Re 0.5000 0.5000 0.5000  4 Te 2.69

***

Computed, not measured: a relaxed Cu12Te crystal at the PBE level of DFT.

Computed properties:
energy relative to the lowest polymorph listed for this composition: 0 meV per atom

a = 4.4041 Å, b = 5.6583 Å, c = 26.3672 Å
α = 89.76°, β = 89.91°, γ = 75.32°
With the nearest neighbours (Å) after each atom.
Positions (direct):
Cu 0.4278 0.9654 0.4544  12 Cu 2.53-2.57
Cu 0.4305 0.4656 0.3227  9 Cu 2.53-2.62, 1 Te 2.71
Cu 0.7149 0.6040 0.5099  12 Cu 2.53-2.58
Cu 0.5695 0.5344 0.6773  9 Cu 2.53-2.62, 1 Te 2.71
Cu 0.8628 0.6716 0.3430  10 Cu 2.51-2.61, 1 Te 2.78
Cu 0.5739 0.5387 0.4168  12 Cu 2.49-2.62
Cu 0.2877 0.8913 0.3639  11 Cu 2.49-2.58
Cu 0.1372 0.3284 0.6570  10 Cu 2.51-2.61, 1 Te 2.78
Cu 0.2923 0.8872 0.6197  12 Cu 2.52-2.61
Cu 0.0017 0.2448 0.3081  8 Cu 2.51-2.56, 1 Te 2.66
Cu 0.4306 0.9661 0.7109  6 Cu 2.53-2.56, 2 Te 2.62
Cu 0.7077 0.1128 0.3803  12 Cu 2.52-2.61
Cu 0.9983 0.7552 0.6919  8 Cu 2.51-2.56, 1 Te 2.66
Cu 0.5694 0.0339 0.2891  6 Cu 2.53-2.56, 2 Te 2.62
Cu 0.9955 0.7549 0.4358  12 Cu 2.52-2.59
Cu 0.8565 0.1802 0.4723  12 Cu 2.52-2.57
Cu 0.7123 0.1087 0.6361  11 Cu 2.49-2.58
Cu 0.2851 0.3960 0.4901  12 Cu 2.53-2.58
Cu 0.4261 0.4613 0.5832  12 Cu 2.49-2.62
Cu 0.1425 0.3249 0.3993  12 Cu 2.51-2.61
Cu 0.5722 0.0346 0.5456  12 Cu 2.53-2.57
Cu 0.0045 0.2451 0.5642  12 Cu 2.52-2.59
Cu 0.1435 0.8198 0.5277  12 Cu 2.52-2.57
Cu 0.8576 0.6751 0.6007  12 Cu 2.51-2.61
Te 0.8608 0.1768 0.7420  6 Cu 2.62-2.92
Te 0.1392 0.8232 0.2580  6 Cu 2.62-2.92

***

Computed, not measured: a relaxed LuTa2Be crystal at the PBE level of DFT.

Computed properties:
raw total energy: -30.512 eV per cell
spin magnetization: 0.007 μB/atom

a = 4.6685 Å, b = 4.6685 Å, c = 4.6685 Å
α = 60.00°, β = 60.00°, γ = 60.00°
With the nearest neighbours (Å) after each atom.
Positions (direct):
Ta 0.0000 0.0000 0.0000  4 Ta 2.86, 4 Lu 2.86
Ta 0.7500 0.7500 0.7500  4 Ta 2.86, 4 Be 2.86
Be 0.5000 0.5000 0.5000  4 Ta 2.86, 4 Lu 2.86
Lu 0.2500 0.2500 0.2500  4 Ta 2.86, 4 Be 2.86

***

Computed, not measured: a relaxed CsNbAgSeS2 crystal at the PBE level of DFT.

Computed properties:
raw total energy: -59.395 eV per cell
spin magnetization: 0.110 μB/atom

a = 8.3384 Å, b = 8.3384 Å, c = 10.2287 Å
α = 90.00°, β = 90.00°, γ = 154.15°
With the nearest neighbours (Å) after each atom.
Positions (direct):
Ag 0.9544 0.0456 0.7500  2 S 2.44, 2 Se 2.62
Ag 0.0456 0.9544 0.2500  2 S 2.44, 2 Se 2.62
Se 0.5679 0.4321 0.7500  2 Ag 2.62, 2 Nb 2.79
Se 0.4321 0.5679 0.2500  2 Ag 2.62, 2 Nb 2.79
Cs 0.2554 0.7446 0.7500  2 Se 3.57, 6 S 3.68-3.76, 2 Cs 3.73, 2 Ag 3.73
Cs 0.7446 0.2554 0.2500  2 Se 3.57, 6 S 3.68-3.76, 2 Cs 3.73, 2 Ag 3.73
Nb 0.5000 0.5000 0.5000  4 S 2.56, 2 Se 2.79
Nb 0.5000 0.5000 0.0000  4 S 2.56, 2 Se 2.79
S 0.1064 0.8936 0.0318  1 Ag 2.44, 2 Nb 2.56
S 0.1064 0.8936 0.4682  1 Ag 2.44, 2 Nb 2.56
S 0.8936 0.1064 0.5318  1 Ag 2.44, 2 Nb 2.56
S 0.8936 0.1064 0.9682  1 Ag 2.44, 2 Nb 2.56

***

no.,calculated volume (A^3/atom)
1,16.83
2,20.22
3,17.17
4,14.98
5,29.17
6,31.03
7,13.45
8,14.49
9,13.12
10,16.60
11,17.63
12,27.17
13,17.75
14,19.22
15,23.81
16,21.86
17,40.17
18,24.45
19,17.99
20,25.84